The following is a DFT calculation (PBE+U) of crystalline SiWCl2O at its relaxed geometry.

It has space group P4/mmm (No. 123), with a = 5.3225 Å, b = 5.3225 Å, c = 3.4204 Å, α = 90.00°, β = 90.00° and γ = 90.00°. The inequivalent atoms are Si at (0.0000, 0.0000, 0.0000), W at (0.5000, 0.5000, 0.5000), Cl at (0.0000, 0.5000, 0.0000) and O at (0.0000, 0.0000, 0.5000).

As for the crystal system: tetragonal. For the total energy, the calculation gives -4.34 eV per atom.